(1)
# AgBi3Se

AgBi3Se after structural relaxation (GGA-PBEsol, Alexandria).

Cell lengths 5.390, 5.390, 5.390 Å; angles 90.00, 90.00, 90.00 degrees
Space group Pm-3m (No. 221)
Unique sites:
Ag: 0.000 0.000 0.000 (multiplicity 1)
Bi: 0.000 0.000 0.500 (multiplicity 3)
Se: 0.500 0.500 0.500 (multiplicity 1)

## Properties
N(E_F) in states/eV/atom: 1.346
E_tot in eV/atom: -3.34
Energy relative to the elements, uncorrected in meV per atom: 659

=====

(2)
# Si2AgBi2

Si2AgBi2 after structural relaxation (GGA-PBEsol, Alexandria).

Cell lengths 6.382, 6.382, 5.708 Å; angles 90.00, 90.00, 90.00 degrees
Space group P4/mbm (No. 127)
Unique sites:
Si: 0.132 0.368 0.000 (multiplicity 4)
Ag: 0.000 0.000 0.000 (multiplicity 2)
Bi: 0.191 0.309 0.500 (multiplicity 4)

## Properties
N(E_F) in states/eV/atom: 0.416
E_tot in eV/atom: -4.43
Energy relative to the elements, uncorrected in meV per atom: 250

=====

(3)
# SiAg2Bi

SiAg2Bi after structural relaxation (GGA-PBEsol, Alexandria).

Cell lengths 4.558, 4.558, 16.952 Å; angles 90.00, 90.00, 90.00 degrees
Space group I-42d (No. 122)
Unique sites:
Si: 0.000 0.000 0.000 (multiplicity 4)
Ag: 0.165 0.250 0.125 (multiplicity 8)
Bi: 0.000 0.000 0.500 (multiplicity 4)

## Properties
N(E_F) in states/eV/atom: 0.384
E_tot in eV/atom: -3.88
Energy relative to the elements, uncorrected in meV per atom: 281

=====

(4)
# Si2Ag2Bi

Si2Ag2Bi after structural relaxation (GGA-PBEsol, Alexandria).

Cell lengths 3.910, 3.910, 12.626 Å; angles 90.00, 90.00, 90.00 degrees
Space group I4/mmm (No. 139)
Unique sites:
Si: 0.000 0.500 0.250 (multiplicity 4)
Ag: 0.000 0.000 0.111 (multiplicity 4)
Bi: 0.000 0.000 0.500 (multiplicity 2)

## Properties
N(E_F) in states/eV/atom: 0.355
E_tot in eV/atom: -4.22
Energy relative to the elements, uncorrected in meV per atom: 262